Material: Sr6MgAl
Method: DFT, PBE-GGA
State: optimized geometry

It has space group I4/mmm (No. 139), with a = 5.8214 Å, b = 5.8214 Å, c = 20.7212 Å, α = 90.00°, β = 90.00° and γ = 90.00°. The distinct sites, in fractional coordinates, are Sr at (0.0000, 0.0000, 0.2501), Sr at (0.0000, 0.5000, 0.0953), Mg at (0.0000, 0.0000, 0.0000) and Al at (0.0000, 0.0000, 0.5000).

The calculation puts the formation energy at -0.0393 eV per atom.



Material: SrMg2Al
Method: DFT, PBE-GGA
State: optimized geometry

It has space group Pnma (No. 62), with a = 17.7701 Å, b = 7.8866 Å, c = 6.2872 Å, α = 90.00°, β = 90.00° and γ = 90.00°. The distinct sites, in fractional coordinates, are Sr at (0.1036, 0.2500, 0.2423), Sr at (0.1424, 0.7500, 0.4784), Mg at (0.0349, 0.0583, 0.7494), Mg at (0.2122, 0.5585, 0.9669), Al at (0.0717, 0.7500, 0.9848) and Al at (0.1800, 0.2500, 0.7301).

The calculation puts the formation energy at -0.1191 eV per atom.



Material: SrMgAl2Tc
Method: DFT, PBE-GGA
State: optimized geometry

It has space group P4/mmm (No. 123), with a = 4.8595 Å, b = 4.8595 Å, c = 5.0917 Å, α = 90.00°, β = 90.00° and γ = 90.00°. The distinct sites, in fractional coordinates, are Sr at (0.0000, 0.0000, 0.0000), Mg at (0.5000, 0.5000, 0.0000), Al at (0.0000, 0.5000, 0.5000) and Tc at (0.5000, 0.5000, 0.5000).

The calculation puts the formation energy at -0.1179 eV per atom.



Material: SrMgAlTl
Method: DFT, PBE-GGA
State: optimized geometry

It has space group F-43m (No. 216), with a = 7.5464 Å, b = 7.5464 Å, c = 7.5464 Å, α = 90.00°, β = 90.00° and γ = 90.00°. The distinct sites, in fractional coordinates, are Sr at (0.0000, 0.0000, 0.0000), Mg at (0.0000, 0.0000, 0.5000), Al at (0.2500, 0.2500, 0.2500) and Tl at (0.2500, 0.2500, 0.7500).

The calculation puts the formation energy at -0.1284 eV per atom.



Material: SrMgAl2Zn
Method: DFT, PBE-GGA
State: optimized geometry

It has space group Imm2 (No. 44), with a = 4.3973 Å, b = 4.5157 Å, c = 11.6130 Å, α = 90.00°, β = 90.00° and γ = 90.00°. The distinct sites, in fractional coordinates, are Sr at (0.0000, 0.0000, 0.0000), Mg at (0.0000, 0.5000, 0.7521), Al at (0.0000, 0.0000, 0.6122), Al at (0.0000, 0.5000, 0.2532) and Zn at (0.0000, 0.0000, 0.3902).

The calculation puts the formation energy at -0.2148 eV per atom.



Material: Sr2Mg3AlZn4
Method: DFT, PBE-GGA
State: optimized geometry

It has space group P-4m2 (No. 115), with a = 4.4648 Å, b = 4.4648 Å, c = 11.8799 Å, α = 90.00°, β = 90.00° and γ = 90.00°. The distinct sites, in fractional coordinates, are Sr at (0.0000, 0.5000, 0.2426), Mg at (0.0000, 0.0000, 0.0000), Mg at (0.0000, 0.5000, 0.6366), Al at (0.5000, 0.5000, 0.0000), Zn at (0.0000, 0.0000, 0.5000), Zn at (0.0000, 0.5000, 0.8684) and Zn at (0.5000, 0.5000, 0.5000).

The calculation puts the formation energy at -0.1422 eV per atom.



Material: Sr2Mg4AlZn3
Method: DFT, PBE-GGA
State: optimized geometry

It has space group P-4m2 (No. 115), with a = 4.5288 Å, b = 4.5288 Å, c = 12.1384 Å, α = 90.00°, β = 90.00° and γ = 90.00°. The distinct sites, in fractional coordinates, are Sr at (0.0000, 0.5000, 0.2459), Mg at (0.0000, 0.0000, 0.5000), Mg at (0.0000, 0.5000, 0.8669), Mg at (0.5000, 0.5000, 0.5000), Al at (0.5000, 0.5000, 0.0000), Zn at (0.0000, 0.0000, 0.0000) and Zn at (0.0000, 0.5000, 0.6413).

The calculation puts the formation energy at -0.1175 eV per atom.



Material: SrMgAlZn
Method: DFT, PBE-GGA
State: optimized geometry

It has space group F-43m (No. 216), with a = 7.2484 Å, b = 7.2484 Å, c = 7.2484 Å, α = 90.00°, β = 90.00° and γ = 90.00°. The distinct sites, in fractional coordinates, are Sr at (0.0000, 0.0000, 0.0000), Mg at (0.0000, 0.0000, 0.5000), Al at (0.2500, 0.2500, 0.7500) and Zn at (0.2500, 0.2500, 0.2500).

The calculation puts the formation energy at -0.0780 eV per atom.



Number 1: DFT total energy -31.48 eV for the cell shown, total magnetic moment 0.0 Bohr magnetons per cell. Number 2: DFT total energy -72.72 eV for the cell shown, total magnetic moment 0.0 Bohr magnetons per cell. Number 3: DFT total energy -21.72 eV for the cell shown, total magnetic moment 0.0 Bohr magnetons per cell. Number 4: DFT total energy -39.60 eV for the cell shown, total magnetic moment 0.0 Bohr magnetons per cell. Number 5: DFT total energy -26.22 eV for the cell shown, total magnetic moment 0.0 Bohr magnetons per cell. Number 6: DFT total energy -18.41 eV for the cell shown, total magnetic moment 0.0 Bohr magnetons per cell. Number 7: DFT total energy -18.48 eV for the cell shown, total magnetic moment 0.0 Bohr magnetons per cell. Number 8: DFT total energy -34.42 eV for the cell shown, total magnetic moment 0.0 Bohr magnetons per cell.